1.
Entry from Alexandria via LeMat-Bulk: a relaxed structure of BeTcNi2 (GGA-PBEsol).

Unit cell a=2.5436 b=2.5436 c=6.4038 alpha=90.00 beta=90.00 gamma=90.00
With the nearest neighbours (Å) after each atom.
Element x y z (fractional)
Be 0.5000 0.5000 0.5000  8 Ni 2.24
Ni 0.0000 0.0000 0.2924  4 Be 2.24
Ni 0.0000 0.0000 0.7076  4 Be 2.24
Tc 0.5000 0.5000 0.0000  4 Tc 2.54, 8 Ni 2.60



2.
Entry from Alexandria via LeMat-Bulk: a relaxed structure of Be3TcNi (GGA-PBEsol).

Unit cell a=3.7670 b=3.7670 c=3.7670 alpha=90.00 beta=90.00 gamma=90.00
With the nearest neighbours (Å) after each atom.
Element x y z (fractional)
Be 0.5000 0.0000 0.0000  2 Ni 1.88
Be 0.0000 0.5000 0.0000  2 Ni 1.88
Be 0.0000 0.0000 0.5000  2 Ni 1.88
Ni 0.0000 0.0000 0.0000  6 Be 1.88
Tc 0.5000 0.5000 0.5000  12 Be 2.66



3.
Entry from Alexandria via LeMat-Bulk: a relaxed structure of BeTc2Ni (GGA-PBEsol).

Unit cell a=2.5144 b=4.3132 c=4.3132 alpha=90.00 beta=90.00 gamma=90.00
With the nearest neighbours (Å) after each atom.
Element x y z (fractional)
Tc 0.0000 0.0000 0.5000  4 Be 2.50, 4 Ni 2.50, 2 Tc 2.51
Tc 0.0000 0.5000 0.0000  4 Ni 2.50, 4 Be 2.50, 2 Tc 2.51
Ni 0.5000 0.0000 0.0000  8 Tc 2.50, 2 Ni 2.51
Be 0.5000 0.5000 0.5000  8 Tc 2.50, 2 Be 2.51



4.
Entry from Alexandria via LeMat-Bulk: a relaxed structure of BeNi3Te (GGA-PBEsol).

Unit cell a=3.9756 b=3.9756 c=3.9756 alpha=90.00 beta=90.00 gamma=90.00
With the nearest neighbours (Å) after each atom.
Element x y z (fractional)
Be 0.0000 0.0000 0.0000  6 Ni 1.99
Ni 0.0000 0.5000 0.0000  2 Be 1.99
Ni 0.0000 0.0000 0.5000  2 Be 1.99
Ni 0.5000 0.0000 0.0000  2 Be 1.99
Te 0.5000 0.5000 0.5000  12 Ni 2.81



5.
Entry from Alexandria via LeMat-Bulk: a relaxed structure of BeNiTe2 (GGA-PBEsol).

Unit cell a=3.3146 b=3.3146 c=7.0385 alpha=90.00 beta=90.00 gamma=90.00
With the nearest neighbours (Å) after each atom.
Element x y z (fractional)
Te 0.5000 0.5000 0.3572  1 Ni 2.45, 4 Be 2.70
Te 0.0000 0.0000 0.8890  1 Be 2.40, 4 Ni 2.68
Ni 0.5000 0.5000 0.7054  5 Te 2.45-2.68, 4 Be 2.59
Be 0.0000 0.0000 0.5485  1 Te 2.40, 4 Ni 2.59



6.
Entry from Alexandria via LeMat-Bulk: a relaxed structure of BeNiTe2 (GGA-PBEsol).

Unit cell a=5.6108 b=5.6108 c=6.8740 alpha=114.09 beta=114.09 gamma=90.00
With the nearest neighbours (Å) after each atom.
Element x y z (fractional)
Te 0.1250 0.1291 0.7500  2 Be 2.42, 2 Ni 2.44
Te 0.6250 0.6209 0.7500  2 Be 2.42, 2 Ni 2.44
Te 0.3791 0.8750 0.2500  2 Be 2.42, 2 Ni 2.44
Te 0.8709 0.3750 0.2500  2 Be 2.42, 2 Ni 2.44
Be 0.7500 0.2500 0.5000  4 Te 2.42
Be 0.5000 0.5000 0.0000  4 Te 2.42
Ni 0.2500 0.7500 0.5000  4 Te 2.44
Ni 0.0000 0.0000 0.0000  4 Te 2.44



7.
Entry from Alexandria via LeMat-Bulk: a relaxed structure of BeNiTe2 (GGA-PBEsol).

Unit cell a=3.6108 b=4.9886 c=4.9886 alpha=70.80 beta=68.78 gamma=68.78
With the nearest neighbours (Å) after each atom.
Element x y z (fractional)
Be 0.5000 0.0000 0.0000  4 Te 2.52
Ni 0.0000 0.5000 0.5000  4 Te 2.61
Te 0.2422 0.7578 0.7578  2 Be 2.52, 2 Ni 2.61
Te 0.7578 0.2422 0.2422  2 Be 2.52, 2 Ni 2.61



8.
Entry from Alexandria via LeMat-Bulk: a relaxed structure of Ti2Be2Ni (GGA-PBEsol).

Unit cell a=3.3619 b=5.9204 c=5.9204 alpha=90.00 beta=90.00 gamma=90.00
With the nearest neighbours (Å) after each atom.
Element x y z (fractional)
Ni 0.0000 0.5000 0.5000  4 Be 2.33
Ni 0.0000 0.0000 0.0000  4 Be 2.33
Be 0.0000 0.6280 0.1280  1 Be 2.14, 2 Ni 2.33, 2 Ti 2.37
Be 0.0000 0.1280 0.3720  1 Be 2.14, 2 Ni 2.33, 2 Ti 2.37
Be 0.0000 0.8720 0.6280  1 Be 2.14, 2 Ni 2.33, 2 Ti 2.37
Be 0.0000 0.3720 0.8720  1 Be 2.14, 2 Ni 2.33, 2 Ti 2.37
Ti 0.5000 0.8284 0.3284  6 Be 2.37-2.46
Ti 0.5000 0.3284 0.1716  6 Be 2.37-2.46
Ti 0.5000 0.1716 0.6716  6 Be 2.37-2.46
Ti 0.5000 0.6716 0.8284  6 Be 2.37-2.46



Number 1: calculated total energy -0.2622 Ha/atom, calculated density 9.0 Mg/m³. Number 2: calculated total energy -0.1973 Ha/atom, calculated density 5.7 Mg/m³. Number 3: calculated total energy -0.2969 Ha/atom, calculated density 9.4 Mg/m³. Number 4: calculated total energy -0.1839 Ha/atom, calculated density 8.3 Mg/m³. Number 5: calculated total energy -0.1575 Ha/atom, calculated density 6.9 Mg/m³. Number 6: calculated total energy -0.1621 Ha/atom, calculated density 6.1 Mg/m³. Number 7: calculated total energy -0.1430 Ha/atom, calculated density 7.1 Mg/m³. Number 8: calculated total energy -0.2350 Ha/atom, calculated density 4.9 Mg/m³.